*i*
The following is a DFT calculation (PBE) of an optimized crystal structure of Ti3FeAs.

a = 4.6479 Å, b = 4.6479 Å, c = 4.6479 Å
α = 90.00°, β = 90.00°, γ = 90.00°
Each line ends with the local moment (μB).
Sites, in units of the cell vectors:
1 Ti 0.0000 0.5000 0.0000  -0.13
2 Ti 0.5000 0.0000 0.0000  -0.29
3 Ti 0.0000 0.0000 0.5000  -0.14
4 As 0.0000 0.0000 0.0000  0.01
5 Fe 0.5000 0.5000 0.5000  3.19

Its total magnetization is 2.50 Bohr magnetons per cell. The space group is Pm-3m, No. 221.

---

*ii*
The following is a DFT calculation (PBE) of an optimized crystal structure of Ti3FeAs.

a = 4.4483 Å, b = 4.4483 Å, c = 4.4483 Å
α = 90.00°, β = 90.00°, γ = 90.00°
Sites, in units of the cell vectors:
1 Ti 0.5000 0.0000 0.0000
2 Ti 0.0000 0.5000 0.0000
3 Ti 0.0000 0.0000 0.5000
4 As 0.5000 0.5000 0.5000
5 Fe 0.0000 0.0000 0.0000

Its total magnetization is 0.00 Bohr magnetons per cell. The space group is Pm-3m, No. 221.

---

*ii* (0.379 eV/atom below the next structure)

---

*i*
The following is a DFT calculation (PBE) of an optimized crystal structure of TiFeAs2.

a = 4.3929 Å, b = 4.3929 Å, c = 4.3929 Å
α = 60.00°, β = 60.00°, γ = 60.00°
Each line ends with the local moment (μB).
Sites, in units of the cell vectors:
1 As 0.2500 0.2500 0.2500  -0.05
2 As 0.7500 0.7500 0.7500  -0.05
3 Ti 0.0000 0.0000 0.0000  0.28
4 Fe 0.5000 0.5000 0.5000  1.94

Its total magnetization is 2.08 Bohr magnetons per cell. The space group is Fm-3m, No. 225.

---

*ii*
The following is a DFT calculation (PBE) of an optimized crystal structure of TiFeAs2.

a = 5.6672 Å, b = 5.6672 Å, c = 6.9227 Å
α = 65.84°, β = 65.84°, γ = 90.00°
Each line ends with the local moment (μB).
Sites, in units of the cell vectors:
1 Ti 0.2500 0.7500 0.5000  0.59
2 Ti 0.5000 0.5000 0.0000  0.58
3 Fe 0.7500 0.2500 0.5000  2.93
4 Fe 0.0000 0.0000 0.0000  2.94
5 As 0.3750 0.3609 0.7500  0.01
6 As 0.6391 0.1250 0.2500  0.01
7 As 0.1109 0.6250 0.2500  0.00
8 As 0.8750 0.8891 0.7500  0.01

Its total magnetization is 7.72 Bohr magnetons per cell. The space group is I-42d, No. 122.

---

*i* (0.264 eV/atom below the next structure)

---

*i*
The following is a DFT calculation (PBE) of an optimized crystal structure of TiFe3As.

a = 4.3764 Å, b = 4.3764 Å, c = 4.3764 Å
α = 90.00°, β = 90.00°, γ = 90.00°
Each line ends with the local moment (μB).
Sites, in units of the cell vectors:
1 As 0.5000 0.5000 0.5000  0.02
2 Fe 0.0000 0.0000 0.5000  2.28
3 Fe 0.0000 0.5000 0.0000  2.24
4 Fe 0.5000 0.0000 0.0000  2.01
5 Ti 0.0000 0.0000 0.0000  -0.89

Its total magnetization is 5.69 Bohr magnetons per cell. The space group is Pm-3m, No. 221.

---

*ii*
The following is a DFT calculation (PBE) of an optimized crystal structure of TiFe3As.

a = 4.2177 Å, b = 4.2177 Å, c = 4.2177 Å
α = 90.00°, β = 90.00°, γ = 90.00°
Sites, in units of the cell vectors:
1 Fe 0.0000 0.5000 0.0000
2 Fe 0.5000 0.0000 0.0000
3 Fe 0.0000 0.0000 0.5000
4 As 0.0000 0.0000 0.0000
5 Ti 0.5000 0.5000 0.5000

Its total magnetization is 0.00 Bohr magnetons per cell. The space group is Pm-3m, No. 221.

---

*ii* (0.450 eV/atom below the next structure)

---

*i*
The following is a DFT calculation (PBE) of an optimized crystal structure of Tl3FeAs.

a = 5.1852 Å, b = 5.1852 Å, c = 5.1852 Å
α = 90.00°, β = 90.00°, γ = 90.00°
Each line ends with the local moment (μB).
Sites, in units of the cell vectors:
1 Tl 0.0000 0.5000 0.0000  -0.02
2 Tl 0.0000 0.0000 0.5000  -0.02
3 Tl 0.5000 0.0000 0.0000  -0.05
4 As 0.5000 0.5000 0.5000  0.61
5 Fe 0.0000 0.0000 0.0000  2.29

Its total magnetization is 3.39 Bohr magnetons per cell. The space group is Pm-3m, No. 221.

---

*ii*
The following is a DFT calculation (PBE) of an optimized crystal structure of Tl3FeAs.

a = 5.5413 Å, b = 5.5413 Å, c = 5.5413 Å
α = 90.00°, β = 90.00°, γ = 90.00°
Each line ends with the local moment (μB).
Sites, in units of the cell vectors:
1 As 0.0000 0.0000 0.0000  0.02
2 Tl 0.5000 0.0000 0.0000  -0.01
3 Tl 0.0000 0.5000 0.0000  -0.01
4 Tl 0.0000 0.0000 0.5000  -0.01
5 Fe 0.5000 0.5000 0.5000  3.25

Its total magnetization is 3.39 Bohr magnetons per cell. The space group is Pm-3m, No. 221.

---

*i* (0.423 eV/atom below the next structure)